The following is a DFT calculation (PBE-GGA) of crystalline Y6ZnIn3 at its relaxed geometry.

## Properties
Energy relative to the elements: -0.366 eV per atom

abc: 5.294 9.233 11.698
angles: 108.43 90.00 90.00
Fractional positions:
Y 0.250 0.669 0.670
In 0.750 0.224 0.031
Y 0.750 0.532 0.911
Y 0.250 0.852 0.321
Y 0.250 0.468 0.089
Y 0.750 0.766 0.503
Zn 0.750 0.041 0.398
Y 0.750 0.148 0.679
Zn 0.250 0.959 0.602
Y 0.750 0.331 0.330
In 0.750 0.473 0.618
Y 0.250 0.135 0.164
In 0.750 0.620 0.221
In 0.250 0.527 0.382
In 0.250 0.380 0.779
Y 0.750 0.865 0.836
In 0.250 0.776 0.969
Y 0.250 0.102 0.871
Y 0.750 0.898 0.129
Y 0.250 0.234 0.497


The following is a DFT calculation (PBE-GGA) of crystalline Ti2TlCoTc at its relaxed geometry.

## Properties
Energy relative to the elements: 0.660 eV per atom

abc: 4.700 4.523 4.700
angles: 90.00 90.00 90.00
Fractional positions:
Tl 0.500 0.500 0.500
Co 0.000 0.500 0.000
Ti 0.500 0.000 0.000
Ti 0.000 0.000 0.500
Tc 0.000 0.000 0.000


The following is a DFT calculation (PBE-GGA) of crystalline RbZnSb2Pb at its relaxed geometry.

## Properties
Raw formation energy: -0.1948 eV/atom

abc: 4.684 9.815 9.848
angles: 52.78 76.24 76.19
Fractional positions:
Sb 0.522 0.314 0.642
Zn 0.000 0.829 0.172
Zn 0.000 0.171 0.828
Sb 0.862 0.132 0.144
Pb 0.349 0.369 0.932
Pb 0.651 0.631 0.068
Sb 0.478 0.686 0.358
Rb 0.178 0.255 0.389
Sb 0.138 0.868 0.856
Rb 0.822 0.745 0.611


The following is a DFT calculation (PBE-GGA) of crystalline BaMgGe2Pd at its relaxed geometry.

## Properties
Energy relative to the elements: -0.557 eV per atom

abc: 4.509 4.509 6.464
angles: 110.41 110.41 90.00
Fractional positions:
Ge 0.383 0.383 0.765
Ba 0.000 0.000 0.000
Ge 0.617 0.617 0.235
Mg 0.250 0.750 0.500
Pd 0.750 0.250 0.500


What did the fourth record say?
The following is a DFT calculation (PBE-GGA) of crystalline BaMgGe2Pd at its relaxed geometry.

## Properties
Energy relative to the elements: -0.557 eV per atom

abc: 4.509 4.509 6.464
angles: 110.41 110.41 90.00
Fractional positions:
Ge 0.383 0.383 0.765
Ba 0.000 0.000 0.000
Ge 0.617 0.617 0.235
Mg 0.250 0.750 0.500
Pd 0.750 0.250 0.500